Computed, not measured: a relaxed structure of NaPtCl at the PBE level of DFT.

Geometry as CIF:
```
data_NaPtCl
_symmetry_space_group_name_H-M 'P 1'
_symmetry_Int_Tables_number 1
_cell_length_a 4.942
_cell_length_b 5.764
_cell_length_c 5.772
_cell_angle_alpha 89.24
_cell_angle_beta 77.52
_cell_angle_gamma 76.89
loop_
_symmetry_equiv_pos_as_xyz
'x,y,z'
loop_
_atom_site_label
_atom_site_type_symbol
_atom_site_fract_x
_atom_site_fract_y
_atom_site_fract_z
Na1 Na 0.000 0.000 0.000
Na2 Na 0.303 0.460 0.458
Pt1 Pt 0.156 0.475 0.980
Pt2 Pt 0.655 0.547 0.909
Cl1 Cl 0.493 0.849 0.204
Cl2 Cl 0.816 0.253 0.606
```

Computed properties:
Fermi-level density of states	0.474	states/eV/atom
distance to the lowest polymorph of the same formula	0.59	eV/f.u.
spin magnetization	0.173	μB per formula unit